DFT (PBE) results for KTiI4 after structural relaxation.

The structure in POSCAR format:
```
KTiI4
1.0
10.852 -1.079 0.000
-2.197 7.011 0.000
-4.328 -2.966 8.453
I K Ti
8 2 2
direct
0.642 0.847 0.139
0.003 0.708 0.861
0.997 0.292 0.139
0.100 0.961 0.392
0.900 0.039 0.608
0.209 0.570 0.608
0.358 0.153 0.861
0.791 0.430 0.392
0.760 0.510 0.019
0.240 0.490 0.981
0.934 0.184 0.368
0.066 0.816 0.632
```

Summary:
The calculation puts the energy relative to the elements, uncorrected at -22.09 kcal/mol of atoms. For the volume, the calculation gives 51.9 A^3/atom. The space group is C2/c. The calculation puts the relative energy among the computed polymorphs at 0.00 eV/f.u.